1.
Computed, not measured: crystalline Tb5Tl6Pb at its relaxed geometry at the GGA-PBE level of DFT.

abc: 4.9262 8.9836 9.1000
angles: 119.58 105.70 90.00
Atoms (fractional coordinates):
Tl 0.1715 0.4303 0.3429
Tb 0.6752 0.6752 0.3504
Tb 0.3248 0.3248 0.6496
Tl 0.1715 0.9126 0.3429
Tl 0.5000 0.7272 0.0000
Tb 0.3568 0.8568 0.7136
Tb 0.6432 0.1432 0.2864
Tb 0.0000 0.5000 0.0000
Tl 0.5000 0.2728 0.0000
Pb 0.0000 0.0000 0.0000
Tl 0.8285 0.5697 0.6571
Tl 0.8285 0.0874 0.6571

**Volume**: 332.8 Å³/cell
**Space-group type**: Immm
**ρ**: 11116 kg/m³
**Raw total energy**: -44.8 eV for the cell shown
**N(E_F)**: 8.17 states/eV per cell

2.
Computed, not measured: crystalline TbTlPb2 at its relaxed geometry at the GGA-PBE level of DFT.

abc: 4.9835 4.9835 6.7902
angles: 68.47 68.47 60.00
Atoms (fractional coordinates):
Tb 0.6730 0.6730 0.9811
Tl 0.4945 0.4945 0.5166
Pb 0.2588 0.2588 0.2235
Pb 0.0737 0.0737 0.7789

**Volume**: 132.3 Å³/cell
**Space-group type**: R3m
**ρ**: 9763 kg/m³
**Raw total energy**: -14.5 eV for the cell shown
**N(E_F)**: 2.67 states/eV per cell

3.
Computed, not measured: crystalline Tb7Tl2Pb2 at its relaxed geometry at the GGA-PBE level of DFT.

abc: 7.0103 7.6756 7.0103
angles: 90.00 108.13 90.00
Atoms (fractional coordinates):
Tb 0.0000 0.2879 0.5001
Tb 0.5000 0.2533 0.5000
Pb 0.8150 0.5000 0.8150
Tb 0.4999 0.2879 0.0000
Tb 0.0000 0.0000 0.0000
Tb 0.0000 0.7121 0.4999
Tb 0.5001 0.7121 0.0000
Tl 0.2861 0.0000 0.7139
Tb 0.5000 0.7467 0.5000
Pb 0.1850 0.5000 0.1850
Tl 0.7139 0.0000 0.2861

**Volume**: 358.5 Å³/cell
**Space-group type**: Cmmm
**ρ**: 8966 kg/m³
**Raw total energy**: -45.1 eV for the cell shown
**N(E_F)**: 10.11 states/eV per cell